(1)
A plane-wave DFT calculation with PBE-GGA was carried out for a geometry-optimized LaBe3Pt structure.

Summary:
Polymorph energy (0 for the lowest one): 63 meV/atom
Crystal system: monoclinic
E_form: -427 meV/atom

The structure in CIF format:
```
data_LaBe3Pt
_chemical_formula_sum 'La4 Be12 Pt4'
_symmetry_space_group_name_H-M 'C 1 c 1'
_symmetry_Int_Tables_number 9
_cell_length_a 5.254
_cell_length_b 14.044
_cell_length_c 4.451
_cell_angle_alpha 90.00
_cell_angle_beta 100.18
_cell_angle_gamma 90.00
loop_
_symmetry_equiv_pos_as_xyz
'x,y,z'
'x,-y,z+1/2'
'x+1/2,y+1/2,z'
'x+1/2,-y+1/2,z+1/2'
loop_
_atom_site_label
_atom_site_type_symbol
_atom_site_fract_x
_atom_site_fract_y
_atom_site_fract_z
_atom_site_occupancy
La1 La 0.000 0.184 0.000 1
Be1 Be 0.180 0.017 0.556 1
Be2 Be 0.308 0.499 0.720 1
Be3 Be 0.491 0.077 0.896 1
Pt1 Pt 0.013 0.394 0.900 1
```

(2)
A plane-wave DFT calculation with PBE-GGA was carried out for a geometry-optimized AlHg2Sb structure.

Summary:
Energy relative to the elements, uncorrected: 0.770 eV/f.u.
Polymorph energy (0 for the lowest one): 128 meV/atom
Crystal system: tetragonal

The structure in CIF format:
```
data_AlHg2Sb
_chemical_formula_sum 'Al2 Hg4 Sb2'
_symmetry_space_group_name_H-M 'I 4/m m m'
_symmetry_Int_Tables_number 139
_symmetry_space_group_name_Hall '-I 4 2'
_cell_length_a 4.232
_cell_length_b 4.232
_cell_length_c 10.913
_cell_angle_alpha 90.00
_cell_angle_beta 90.00
_cell_angle_gamma 90.00
loop_
_atom_site_label
_atom_site_type_symbol
_atom_site_fract_x
_atom_site_fract_y
_atom_site_fract_z
_atom_site_occupancy
Al1 Al 0.000 0.000 0.000 1
Hg1 Hg 0.000 0.500 0.250 1
Sb1 Sb 0.000 0.000 0.500 1
```

(3)
A plane-wave DFT calculation with PBE-GGA was carried out for a geometry-optimized LiPmU2As4 structure.

Summary:
Crystal system: monoclinic
E_form: -828 meV/atom

The structure in CIF format:
```
data_LiPmU2As4
_chemical_formula_sum 'Li1 Pm1 U2 As4'
_symmetry_space_group_name_H-M 'P 1 2/m 1'
_symmetry_Int_Tables_number 10
_cell_length_a 7.074
_cell_length_b 4.118
_cell_length_c 7.187
_cell_angle_alpha 90.00
_cell_angle_beta 109.26
_cell_angle_gamma 90.00
loop_
_symmetry_equiv_pos_as_xyz
'x,y,z'
'-x,-y,-z'
'-x,y,-z'
'x,-y,z'
loop_
_atom_site_label
_atom_site_type_symbol
_atom_site_fract_x
_atom_site_fract_y
_atom_site_fract_z
_atom_site_occupancy
Li1 Li 0.000 0.000 0.000 1
Pm1 Pm 0.500 0.500 0.000 1
U1 U 0.000 0.500 0.500 1
U2 U 0.500 0.000 0.500 1
As1 As 0.243 0.000 0.740 1
As2 As 0.254 0.500 0.266 1
```

(4)
A plane-wave DFT calculation with PBE-GGA was carried out for a geometry-optimized Cs2Cu2TeS6 structure.

Summary:
Energy relative to the elements, uncorrected: -2.892 eV/f.u.
Crystal system: monoclinic

The structure in CIF format:
```
data_Cs2Cu2TeS6
_chemical_formula_sum 'Cs4 Cu4 Te2 S12'
_symmetry_space_group_name_H-M 'C 1 2/m 1'
_symmetry_Int_Tables_number 12
_cell_length_a 12.257
_cell_length_b 7.101
_cell_length_c 8.386
_cell_angle_alpha 90.00
_cell_angle_beta 118.44
_cell_angle_gamma 90.00
loop_
_symmetry_equiv_pos_as_xyz
'x,y,z'
'-x,-y,-z'
'-x,y,-z'
'x,-y,z'
'x+1/2,y+1/2,z'
'-x+1/2,-y+1/2,-z'
'-x+1/2,y+1/2,-z'
'x+1/2,-y+1/2,z'
loop_
_atom_site_label
_atom_site_type_symbol
_atom_site_fract_x
_atom_site_fract_y
_atom_site_fract_z
_atom_site_occupancy
Cs1 Cs 0.221 0.000 0.164 1
Cu1 Cu 0.105 0.500 0.323 1
Te1 Te 0.000 0.000 0.500 1
S1 S 0.002 0.238 0.272 1
S2 S 0.234 0.000 0.721 1
```

(5)
A plane-wave DFT calculation with PBE-GGA was carried out for a geometry-optimized SiH structure.

Summary:
Polymorph energy (0 for the lowest one): 424 meV/atom
Crystal system: hexagonal

The structure in CIF format:
```
data_SiH
_chemical_formula_sum 'Si2 H2'
_symmetry_space_group_name_H-M 'P 63 m c'
_symmetry_Int_Tables_number 186
_symmetry_space_group_name_Hall 'P 6c -2c'
_cell_length_a 2.6061
_cell_length_b 2.6061
_cell_length_c 7.6457
_cell_angle_alpha 90.00
_cell_angle_beta 90.00
_cell_angle_gamma 120.00
loop_
_atom_site_label
_atom_site_type_symbol
_atom_site_fract_x
_atom_site_fract_y
_atom_site_fract_z
_atom_site_occupancy
Si1 Si 0.3333 0.6667 0.0000 1
H1 H 0.3333 0.6667 0.8005 1
```

(6)
A plane-wave DFT calculation with PBE-GGA was carried out for a geometry-optimized CdAgSn structure.

Summary:
Crystal system: tetragonal
E_form: 162 meV/atom

The structure in CIF format:
```
data_CdAgSn
_chemical_formula_sum 'Cd2 Ag2 Sn2'
_symmetry_space_group_name_H-M 'I 4 m m'
_symmetry_Int_Tables_number 107
_symmetry_space_group_name_Hall 'I 4 -2'
_cell_length_a 3.089
_cell_length_b 3.089
_cell_length_c 15.801
_cell_angle_alpha 90.00
_cell_angle_beta 90.00
_cell_angle_gamma 90.00
loop_
_atom_site_label
_atom_site_type_symbol
_atom_site_fract_x
_atom_site_fract_y
_atom_site_fract_z
_atom_site_occupancy
Cd1 Cd 0.000 0.000 0.000 1
Ag1 Ag 0.000 0.000 0.824 1
Sn1 Sn 0.000 0.000 0.190 1
```

The calculation returns the following spin magnetization values, one per record and in order: 0.00; 0.00; 3.88; 0.00; 0.00; 0.00 Bohr magnetons per cell.
The calculation returns the following DOS at the Fermi energy values, one per record and in order: 2.859; 1.551; 12.581; 10.704; 0.513; 1.669 states/eV/f.u..